(1)
Cr2FeRe: relaxed, PBE.

Lattice parameters (Å, degrees): 2.561 2.561 8.148 90.00 90.00 109.24
Sites, in units of the cell vectors:
Cr1 0.000 0.000 0.000
Cr2 0.500 0.500 0.235
Fe1 0.500 0.500 0.760
Re1 0.000 0.000 0.497

Calculated values
Energy relative to the elements ... 2.3 kcal/mol of atoms
Energy relative to the lowest polymorph listed for this composition ... 25 meV per atom
ρ ... 11.39 g cm⁻³

***

(2)
SmPuMnCo: relaxed, PBE.

Lattice parameters (Å, degrees): 4.820 4.820 4.820 60.00 60.00 60.00
Sites, in units of the cell vectors:
Sm1 0.000 0.000 0.000
Pu1 0.500 0.500 0.500
Mn1 0.250 0.250 0.250
Co1 0.750 0.750 0.750

Calculated values
Energy relative to the elements ... 2.7 kcal/mol of atoms
ρ ... 10.66 g cm⁻³

***

(3)
CsBa2ScGe: relaxed, PBE.

Lattice parameters (Å, degrees): 6.363 6.363 5.421 90.00 90.00 90.00
Sites, in units of the cell vectors:
Cs1 0.000 0.000 0.000
Ba1 0.000 0.500 0.000
Ba2 0.500 0.000 0.000
Sc1 0.000 0.000 0.500
Ge1 0.500 0.500 0.500

Calculated values
Energy relative to the elements ... 24.8 kcal/mol of atoms
ρ ... 3.97 g cm⁻³